## AsOsCl2 (PBE-GGA)

Data for a relaxed structure of AsOsCl2.

Cell lengths 7.441, 7.441, 4.622 Å; angles 72.25, 72.25, 22.97 degrees
Last column: magnetic moment on the atom in μB.
Atoms (fractional coordinates):
Cl 0.110 0.110 0.887  0.00
Cl 0.390 0.390 0.613  0.00
Os 0.750 0.750 0.750  0.06
As 0.250 0.250 0.250  0.01

Computed properties:
SG: C2/m (12)
Energy relative to the elements, uncorrected: 0.31 eV per atom
Final energy: -4.5839 eV/atom
Volume: 94.91 Å³ per cell